# 1
A plane-wave DFT calculation with PBE was carried out for an optimized crystal structure of TbSi2Ge.

Computed properties:
The magnetic moment is 0.000 μB/atom. As for the space group: P4/mmm. As for the energy above the most stable polymorph in this dataset: 0.00 eV per formula unit. The uncorrected formation energy comes out at -0.96 eV per formula unit.

The structure in POSCAR format:
```
TbSi2Ge
1.0
4.272 0.000 0.000
0.000 4.272 0.000
0.000 0.000 4.129
Tb Si Ge
1 2 1
Cartesian
0.000 0.000 0.000
0.000 2.136 2.064
2.136 0.000 2.064
2.136 2.136 0.000
```

---

# 2
A plane-wave DFT calculation with PBE was carried out for an optimized crystal structure of ScFeB3.

Computed properties:
The magnetic moment is 0.351 μB/atom. As for the space group: Cmcm. As for the energy above the most stable polymorph in this dataset: 0.00 eV per formula unit. The formation energy is -0.5850 eV/atom.

The structure in POSCAR format:
```
ScFeB3
1.0
1.657 -9.082 0.000
1.657 9.082 0.000
0.000 0.000 3.058
Sc Fe B
2 2 6
Cartesian
1.657 7.704 2.293
1.657 -7.704 0.764
1.657 5.302 0.764
1.657 -5.302 2.293
1.657 3.225 0.764
1.657 2.297 2.293
1.657 0.451 2.293
1.657 -0.451 0.764
1.657 -2.297 0.764
1.657 -3.225 2.293
```

---

# 3
A plane-wave DFT calculation with PBE was carried out for an optimized crystal structure of Li2AlVHg.

Computed properties:
The magnetic moment is 0.551 μB/atom. As for the space group: P4/mmm. The formation energy is 0.5788 eV/atom.

The structure in POSCAR format:
```
Li2AlVHg
1.0
4.759 0.000 0.000
0.000 4.759 0.000
0.000 0.000 4.917
Li Al V Hg
2 1 1 1
Cartesian
0.000 2.380 0.000
2.380 0.000 0.000
0.000 0.000 0.000
0.000 0.000 2.458
2.380 2.380 2.458
```

---

# 4
A plane-wave DFT calculation with PBE was carried out for an optimized crystal structure of Tb8InRu2.

Computed properties:
The magnetic moment is 0.000 μB/atom. As for the space group: C2/m. As for the energy above the most stable polymorph in this dataset: 0.00 eV per formula unit. The formation energy is -0.2344 eV/atom.

The structure in POSCAR format:
```
Tb8InRu2
1.0
4.403 -6.599 0.000
4.403 6.599 0.000
-1.253 0.000 5.300
Tb In Ru
8 1 2
Cartesian
1.009 1.735 3.047
4.403 3.311 0.000
1.009 -1.735 3.047
3.140 0.000 1.057
4.414 0.000 4.243
6.545 1.735 2.253
4.403 -3.311 0.000
6.545 -1.735 2.253
0.000 0.000 0.000
3.777 2.479 2.650
3.777 -2.479 2.650
```

---

no.,calculated density (g cm⁻³)
1,6.34
2,4.81
3,4.36
4,8.56